The following is a DFT calculation (GGA+U) of CoPtF2 after structural relaxation.

Cell lengths 9.645, 9.645, 9.645 Å; angles 16.80, 16.80, 16.80 degrees
Atoms (fractional coordinates):
Co 0.000 0.000 0.000
Pt 0.500 0.500 0.500
F 0.375 0.375 0.375
F 0.625 0.625 0.625

Calculated total energy   -4.8248 eV/atom
Energy above the most stable polymorph in this dataset   0.0000 eV per atom